## VAsO4 (PBE with a Hubbard U)

Data for an optimized crystal structure of VAsO4.

Summary:
The energy is -6.91 eV per atom. Its density of states at the Fermi level is 0.00 states/eV/f.u. As for the crystal system: orthorhombic.

Lattice parameters (Å, degrees): 5.5233 8.1966 6.5226 90.00 90.00 90.00
Space group Cmcm (No. 63)
Asymmetric unit:
V  0.0000  0.0000  0.0000 [4 per cell]
As  0.0000  0.3493  0.2500 [4 per cell]
O  0.0000  0.2385  0.0293 [8 per cell]
O  0.2438  0.0246  0.7500 [8 per cell]



## VAs3O9 (PBE with a Hubbard U)

Data for an optimized crystal structure of VAs3O9.

Summary:
The energy is -6.37 eV per atom. Its density of states at the Fermi level is 0.00 states/eV/f.u. As for the crystal system: monoclinic.

Lattice parameters (Å, degrees): 13.9872 6.8179 10.0146 90.00 127.32 90.00
Space group Cc (No. 9)
Asymmetric unit:
V  0.0000  0.2343  0.0000 [4 per cell]
As  0.1323  0.1024  0.8209 [4 per cell]
As  0.2400  0.4543  0.7301 [4 per cell]
As  0.3686  0.0810  0.6809 [4 per cell]
O  0.0167  0.1058  0.8310 [4 per cell]
O  0.1224  0.0467  0.1796 [4 per cell]
O  0.1450  0.3451  0.7705 [4 per cell]
O  0.1495  0.3883  0.0739 [4 per cell]
O  0.2629  0.2718  0.6240 [4 per cell]
O  0.2797  0.0865  0.0127 [4 per cell]
O  0.3643  0.4661  0.4142 [4 per cell]
O  0.4005  0.0345  0.3523 [4 per cell]
O  0.4801  0.1648  0.6785 [4 per cell]



## VAsO4 (PBE with a Hubbard U)

Data for an optimized crystal structure of VAsO4.

Summary:
The energy is -6.71 eV per atom. Its density of states at the Fermi level is 0.00 states/eV/f.u. As for the crystal system: tetragonal.

Lattice parameters (Å, degrees): 5.7219 5.7219 8.4113 90.00 90.00 90.00
Space group I-4 (No. 82)
Asymmetric unit:
V  0.0000  0.0000  0.0000 [2 per cell]
As  0.0000  0.5000  0.7500 [2 per cell]
O  0.0961  0.7678  0.8805 [8 per cell]



## VAs3O (PBE with a Hubbard U)

Data for an optimized crystal structure of VAs3O.

Summary:
The energy is -4.95 eV per atom. Its density of states at the Fermi level is 2.64 states/eV/f.u. The energy above the most stable polymorph in this dataset comes out at 0 meV per atom. As for the crystal system: cubic.

Lattice parameters (Å, degrees): 4.3678 4.3678 4.3678 90.00 90.00 90.00
Space group Pm-3m (No. 221)
Asymmetric unit:
V  0.0000  0.0000  0.0000 [1 per cell]
As  0.0000  0.5000  0.5000 [3 per cell]
O  0.5000  0.5000  0.5000 [1 per cell]